TlWBr2: PBEsol geometry, SCAN.

Lattice parameters (Å, degrees): 3.310 3.383 9.510 90.00 90.00 119.29
Site moments in Bohr magnetons follow the coordinates.
Element x y z (fractional)
Tl: 0.000 0.000 0.514  0.00
Br: 0.000 0.000 0.953  0.01
Br: 0.500 0.000 0.278  0.00
W: 0.500 0.000 0.755  0.67

Properties
ΔE to the lowest computed polymorph = 0.000 eV/atom
Calculated volume = 92.89 Å³ per cell
SG = No. 35
Uncorrected formation energy = 591 meV per atom
Spin magnetization = 0.215 μB per atom



CsCo3B: PBEsol geometry, SCAN.

Lattice parameters (Å, degrees): 4.585 4.585 4.585 90.00 90.00 90.00
Site moments in Bohr magnetons follow the coordinates.
Element x y z (fractional)
Cs: 0.000 0.000 0.000  -0.05
B: 0.500 0.500 0.500  -0.06
Co: 0.000 0.500 0.000  1.31
Co: 0.000 0.000 0.500  1.31
Co: 0.500 0.000 0.000  1.31

Properties
Energy of formation = 3.36 eV per atom
Calculated volume = 96.40 Å³ per cell
SG = No. 221
Spin magnetization = 0.733 μB per atom



The highest calculated volume belongs to which entry?
CsCo3B